Record 1
Here is SrSbPt2 after structural relaxation from Alexandria. Energies are from PBE.

Total moment   0.00 μB/f.u.
Final energy   -20.71 eV/f.u.

The structure in POSCAR format:
```
SrSbPt2
1.0
2.310 1.334 5.286
-2.310 1.334 5.286
0.000 -2.668 5.286
Sr Sb Pt
1 1 2
direct
0.000 0.000 0.000 Sr
0.500 0.500 0.500 Sb
0.201 0.201 0.201 Pt
0.799 0.799 0.799 Pt
```

=====

Record 2
Here is SrSbPt3 after structural relaxation from Alexandria. Energies are from PBE.

Relative energy among the computed polymorphs   8.14 eV per formula unit
Total moment   0.00 μB/f.u.

The structure in POSCAR format:
```
SrSbPt3
1.0
5.192 0.000 0.000
0.000 5.192 0.000
0.000 0.000 5.192
Sr Sb Pt
1 1 3
direct
0.000 0.000 0.000 Sr
0.500 0.500 0.500 Sb
0.000 0.000 0.500 Pt
0.000 0.500 0.000 Pt
0.500 0.000 0.000 Pt
```

=====

Question: Look up the total moment of the first one.
Answer: 0.00 μB/f.u.